# 1
A plane-wave DFT calculation with PBE-GGA was carried out for an optimized crystal structure of Sb2Ru2I.

Summary:
As for the density of states at the Fermi level: 9.6 states/eV/cell. The polymorph energy (0 for the lowest one) comes out at 0 meV per atom. The mass density is 9.30 g/cm³.

Cell: 7.9101 7.9101 3.2679 Å, 90.00 90.00 90.00°
Closest atoms and distances in Å follow each position.
Positions (direct):
I: 0.0000 0.0000 0.0000  4 Ru 3.07, 2 I 3.27
I: 0.5000 0.5000 0.0000  4 Ru 3.07, 2 I 3.27
Sb: 0.1442 0.6442 0.5000  6 Ru 2.76-2.95
Sb: 0.6442 0.8558 0.5000  6 Ru 2.76-2.95
Sb: 0.8558 0.3558 0.5000  6 Ru 2.76-2.95
Sb: 0.3558 0.1442 0.5000  6 Ru 2.76-2.95
Ru: 0.3634 0.8634 0.0000  6 Sb 2.76-2.95, 1 Ru 3.06, 2 I 3.07
Ru: 0.8634 0.6366 0.0000  6 Sb 2.76-2.95, 1 Ru 3.06, 2 I 3.07
Ru: 0.6366 0.1366 0.0000  6 Sb 2.76-2.95, 1 Ru 3.06, 2 I 3.07
Ru: 0.1366 0.3634 0.0000  6 Sb 2.76-2.95, 1 Ru 3.06, 2 I 3.07

***

# 2
A plane-wave DFT calculation with PBE-GGA was carried out for an optimized crystal structure of SbRuI2.

Summary:
As for the density of states at the Fermi level: 5.3 states/eV/cell. The polymorph energy (0 for the lowest one) comes out at 0 meV per atom. The mass density is 6.05 g/cm³.

Cell: 10.1492 10.1492 7.6128 Å, 48.20 48.20 90.00°
Closest atoms and distances in Å follow each position.
Positions (direct):
I: 0.4722 0.1250 0.2500  2 Ru 2.80
I: 0.2778 0.6250 0.2500  2 Ru 2.80
I: 0.3750 0.5278 0.7500  2 Ru 2.80
I: 0.8750 0.7222 0.7500  2 Ru 2.80
Sb: 0.0000 0.0000 0.0000  2 Ru 2.54
Sb: 0.7500 0.2500 0.5000  2 Ru 2.54
Ru: 0.5000 0.5000 0.0000  2 Sb 2.54, 4 I 2.80
Ru: 0.2500 0.7500 0.5000  2 Sb 2.54, 4 I 2.80

***

# 3
A plane-wave DFT calculation with PBE-GGA was carried out for an optimized crystal structure of Sb3RuI.

Summary:
As for the density of states at the Fermi level: 5.4 states/eV/cell. The polymorph energy (0 for the lowest one) comes out at 0 meV per atom. The mass density is 6.94 g/cm³.

Cell: 5.2168 5.2168 5.2168 Å, 90.00 90.00 90.00°
Closest atoms and distances in Å follow each position.
Positions (direct):
I: 0.5000 0.5000 0.5000  12 Sb 3.69
Sb: 0.0000 0.5000 0.0000  2 Ru 2.61
Sb: 0.0000 0.0000 0.5000  2 Ru 2.61
Sb: 0.5000 0.0000 0.0000  2 Ru 2.61
Ru: 0.0000 0.0000 0.0000  6 Sb 2.61

***

# 4
A plane-wave DFT calculation with PBE-GGA was carried out for an optimized crystal structure of SbRu2I.

Summary:
As for the density of states at the Fermi level: 7.8 states/eV/cell. The polymorph energy (0 for the lowest one) comes out at 4 meV per atom. The mass density is 7.25 g/cm³.

Cell: 5.8311 5.8311 7.3402 Å, 66.60 66.60 90.00°
Closest atoms and distances in Å follow each position.
Positions (direct):
I: 0.0000 0.0000 0.0000  4 Ru 2.56
I: 0.7500 0.2500 0.5000  4 Ru 2.56
Sb: 0.5000 0.5000 0.0000  4 Ru 2.56
Sb: 0.2500 0.7500 0.5000  4 Ru 2.56
Ru: 0.6255 0.1250 0.2500  2 I 2.56, 2 Sb 2.56
Ru: 0.1245 0.6250 0.2500  2 I 2.56, 2 Sb 2.56
Ru: 0.3750 0.3745 0.7500  2 I 2.56, 2 Sb 2.56
Ru: 0.8750 0.8755 0.7500  2 I 2.56, 2 Sb 2.56